1.
# Li3Mo3P4O16

A relaxed structure of Li3Mo3P4O16 (PBEsol, the Alexandria database).

Structure (POSCAR):
```
Li3Mo3P4O16
1.0
8.6187 0.0000 0.0000
0.0000 5.0396 0.0000
-7.3643 0.0000 13.4463
Li Mo P O
6 6 8 32
Cartesian
0.0000 0.0000 0.0000 Li
-3.6822 2.5198 6.7232 Li
-2.2207 0.3077 8.2400 Li
1.4615 2.2121 1.5169 Li
-0.2071 2.8275 11.9294 Li
3.4751 4.7319 5.2063 Li
-3.3872 2.6518 9.6466 Mo
0.2950 4.9077 2.9234 Mo
0.6272 0.0000 6.7232 Mo
4.3093 2.5198 0.0000 Mo
0.9594 0.1320 10.5229 Mo
4.6416 2.3879 3.7997 Mo
-5.9706 2.5334 11.9244 P
-2.2884 5.0261 5.2013 P
-2.2327 0.0338 11.4489 P
1.4495 2.4861 4.7258 P
-0.1951 2.5536 8.7205 P
3.4870 5.0059 1.9974 P
3.5428 0.0136 8.2450 P
7.2249 2.5063 1.5219 P
-4.2341 3.7446 8.1285 O
-0.5520 3.8149 1.4054 O
-4.0255 1.1640 8.2637 O
-0.3433 1.3558 1.5406 O
-5.1293 2.5905 10.6732 O
-1.4471 4.9690 3.9501 O
-5.1424 2.6009 13.2333 O
-1.4603 4.9586 6.5102 O
1.9800 0.1512 1.6819 O
-1.7021 2.3687 8.4051 O
1.1781 3.0083 3.2930 O
-2.5040 4.5512 10.0162 O
1.0470 0.9538 4.7763 O
-2.6352 1.5660 11.4994 O
0.5915 3.2918 5.6808 O
-3.0906 4.2677 12.4039 O
4.3450 0.7720 1.0424 O
0.6628 1.7479 7.7655 O
3.8895 3.4736 1.9469 O
0.2074 4.0858 8.6700 O
3.7584 0.4884 3.4301 O
0.0762 2.0314 10.1533 O
2.9565 2.6710 5.0412 O
-0.7257 4.8885 11.7644 O
2.7146 0.0811 6.9361 O
6.3968 2.4388 0.2130 O
2.7015 0.0707 9.4963 O
6.3836 2.4491 2.7731 O
1.5977 3.6838 11.9057 O
5.2798 3.8756 5.1826 O
1.8063 1.2247 12.0409 O
5.4885 1.2951 5.3178 O
```

- Volume: 11.2 A^3/atom
- M_tot: 9.00 μB/f.u.
- Formation energy (no corrections): -2.0008 eV/atom
- ρ: 3.9 g/cm³
- Energy relative to the lowest polymorph listed for this composition: 0.000 eV/atom



2.
# TiSbTe2O

A relaxed structure of TiSbTe2O (PBEsol, the Alexandria database).

Structure (POSCAR):
```
TiSbTe2O
1.0
5.1058 0.0000 0.0000
0.0000 5.1058 0.0000
0.0000 0.0000 5.1825
Ti Sb Te O
1 1 2 1
Cartesian
0.0000 0.0000 0.0000 Ti
0.0000 0.0000 2.5913 Sb
0.0000 2.5529 0.0000 Te
2.5529 0.0000 0.0000 Te
2.5529 2.5529 2.5913 O
```

- Volume: 27.0 A^3/atom
- M_tot: 1.17 μB/f.u.
- Formation energy (no corrections): 0.4554 eV/atom
- ρ: 5.4 g/cm³



3.
# SrTi3Ru

A relaxed structure of SrTi3Ru (PBEsol, the Alexandria database).

Structure (POSCAR):
```
SrTi3Ru
1.0
4.7940 0.0000 0.0000
0.0000 4.7940 0.0000
0.0000 0.0000 4.7940
Sr Ti Ru
1 3 1
Cartesian
0.0000 0.0000 0.0000 Sr
0.0000 2.3970 2.3970 Ti
2.3970 0.0000 2.3970 Ti
2.3970 2.3970 0.0000 Ti
2.3970 2.3970 2.3970 Ru
```

- Volume: 22.0 A^3/atom
- M_tot: 0.01 μB/f.u.
- ρ: 5.0 g/cm³
- E_form: 7.5 kcal/mol of atoms



4.
# YTaZn2Te

A relaxed structure of YTaZn2Te (PBEsol, the Alexandria database).

Structure (POSCAR):
```
YTaZn2Te
1.0
4.9258 0.0000 0.0000
0.0000 4.9258 0.0000
0.0000 0.0000 5.5396
Y Ta Zn Te
1 1 2 1
Cartesian
0.0000 0.0000 0.0000 Y
2.4629 2.4629 0.0000 Ta
0.0000 2.4629 2.7698 Zn
2.4629 0.0000 2.7698 Zn
0.0000 0.0000 2.7698 Te
```

- Volume: 26.9 A^3/atom
- M_tot: 2.34 μB/f.u.
- Formation energy (no corrections): 1.2522 eV/atom
- ρ: 6.5 g/cm³



5.
# Na3CuO3

A relaxed structure of Na3CuO3 (PBEsol, the Alexandria database).

Structure (POSCAR):
```
Na3CuO3
1.0
9.1372 0.0000 0.0000
0.0000 9.1372 0.0000
0.0000 0.0000 4.4317
Na Cu O
12 4 12
Cartesian
1.1533 3.3852 0.0000 Na
1.1834 5.7219 2.2159 Na
1.3582 7.7789 0.0000 Na
3.2103 3.2103 2.2159 Na
3.3852 1.1533 0.0000 Na
3.4153 7.9537 2.2159 Na
5.7219 1.1834 2.2159 Na
5.7520 7.9838 0.0000 Na
5.9268 5.9268 2.2159 Na
7.7789 1.3582 0.0000 Na
7.9537 3.4153 2.2159 Na
7.9838 5.7520 0.0000 Na
0.9990 0.9990 2.2159 Cu
3.5696 5.5675 0.0000 Cu
5.5675 3.5696 0.0000 Cu
8.1382 8.1382 2.2159 Cu
0.8667 8.2705 2.2159 O
0.9684 2.8202 2.2159 O
1.7484 5.5370 0.0000 O
2.8202 0.9684 2.2159 O
3.6002 7.3887 0.0000 O
3.7019 3.7019 0.0000 O
5.4353 5.4353 0.0000 O
5.5370 1.7484 0.0000 O
6.3170 8.1688 2.2159 O
7.3887 3.6002 0.0000 O
8.1688 6.3170 2.2159 O
8.2705 0.8667 2.2159 O
```

- Volume: 13.2 A^3/atom
- M_tot: 0.00 μB/f.u.
- Formation energy (no corrections): -1.1360 eV/atom
- ρ: 3.2 g/cm³
- Energy relative to the lowest polymorph listed for this composition: 0.010 eV/atom



6.
# Zn2TeMoO7

A relaxed structure of Zn2TeMoO7 (PBEsol, the Alexandria database).

Structure (POSCAR):
```
Zn2TeMoO7
1.0
5.1563 0.0000 0.0000
0.0000 8.4704 0.0000
-1.2865 0.0000 7.0912
Zn Te Mo O
4 2 2 14
Cartesian
-0.2193 0.0000 1.8223 Zn
1.0309 6.9789 6.9828 Zn
2.8389 2.7437 0.1083 Zn
4.0892 4.2352 5.2689 Zn
-1.0633 0.9575 6.0193 Te
4.9332 5.1927 1.0719 Te
1.5249 2.7713 3.4457 Mo
2.3449 7.0065 3.6455 Mo
-0.2546 5.5329 6.7666 O
-0.0388 2.5624 6.1198 O
0.3929 4.0410 3.8873 O
0.6778 1.2576 3.1872 O
1.2274 0.0840 0.3093 O
1.0501 6.8152 2.4089 O
2.2036 3.2723 1.8975 O
1.6663 7.5076 5.1936 O
2.8198 2.5800 4.6823 O
2.6425 4.3192 6.7818 O
3.1920 5.4928 3.9040 O
3.4769 8.2762 3.2039 O
3.9086 6.7976 0.9714 O
4.1245 1.2977 0.3246 O
```

- Volume: 14.1 A^3/atom
- M_tot: 0.00 μB/f.u.
- Formation energy (no corrections): -1.5476 eV/atom
- ρ: 5.0 g/cm³